1.
VASP calculation (PBE-GGA) on a relaxed structure of Cd3FeI.

Results
The energy above the most stable polymorph in this dataset is 0.000 eV per atom.

Cell: 5.293 5.293 5.293 Å, 90.00 90.00 90.00°
Last column: magnetic moment on the atom in μB.
Element x y z (fractional)
I 0.500 0.500 0.500  0.07
Fe 0.000 0.000 0.000  2.80
Cd 0.000 0.500 0.000  0.01
Cd 0.000 0.000 0.500  -0.01
Cd 0.500 0.000 0.000  -0.02


2.
VASP calculation (PBE-GGA) on a relaxed structure of CdFe3I9.

Results
The electronic total energy comes out at -85.637 eV for the cell shown.

Cell: 9.909 11.897 12.010 Å, 79.92 65.64 65.39°
Last column: magnetic moment on the atom in μB.
Element x y z (fractional)
Cd 0.117 0.525 0.958  0.01
Cd 0.400 0.025 0.458  0.01
Fe 0.865 0.519 0.704  3.41
Fe 0.912 0.019 0.204  3.41
Fe 0.000 0.965 0.814  3.34
Fe 0.221 0.465 0.314  3.34
Fe 0.627 0.258 0.708  3.42
Fe 0.407 0.758 0.208  3.42
I 0.316 0.225 0.297  0.09
I 0.162 0.725 0.797  0.09
I 0.440 0.347 0.926  0.11
I 0.286 0.847 0.426  0.11
I 0.222 0.058 0.716  0.09
I 0.004 0.558 0.216  0.09
I 0.658 0.792 0.075  0.23
I 0.475 0.292 0.575  0.23
I 0.741 0.914 0.387  0.10
I 0.958 0.414 0.887  0.10
I 0.613 0.707 0.764  0.23
I 0.916 0.207 0.264  0.23
I 0.479 0.517 0.207  0.17
I 0.797 0.017 0.707  0.17
I 0.851 0.351 0.598  0.17
I 0.200 0.851 0.098  0.17
I 0.807 0.080 0.024  0.17
I 0.089 0.580 0.524  0.17


3.
VASP calculation (PBE-GGA) on a relaxed structure of Cd2FeI6.

Results
The electronic total energy comes out at -46.740 eV for the cell shown.

Cell: 7.473 11.396 11.396 Å, 88.19 71.00 71.00°
Last column: magnetic moment on the atom in μB.
Element x y z (fractional)
Cd 0.073 0.666 0.823  0.00
Cd 0.427 0.177 0.334  0.00
Cd 0.927 0.334 0.177  0.00
Cd 0.573 0.823 0.666  0.00
Fe 0.250 0.242 0.758  3.29
Fe 0.750 0.758 0.242  3.29
I 0.203 0.829 0.647  0.00
I 0.297 0.353 0.171  0.00
I 0.797 0.171 0.353  0.00
I 0.703 0.647 0.829  0.00
I 0.882 0.760 0.428  0.07
I 0.618 0.572 0.240  0.07
I 0.118 0.240 0.572  0.07
I 0.382 0.428 0.760  0.07
I 0.068 0.756 0.055  0.07
I 0.432 0.945 0.244  0.07
I 0.932 0.244 0.945  0.07
I 0.568 0.055 0.756  0.07


4.
VASP calculation (PBE-GGA) on a relaxed structure of Cd2FeI8.

Results
The electronic total energy comes out at -25.703 eV for the cell shown.

Cell: 7.018 12.219 8.538 Å, 135.69 84.08 90.00°
Last column: magnetic moment on the atom in μB.
Element x y z (fractional)
I 0.257 0.754 0.840  0.10
I 0.743 0.914 0.160  0.10
I 0.128 0.224 0.449  0.05
I 0.872 0.776 0.551  0.05
I 0.257 0.086 0.840  0.10
I 0.743 0.246 0.160  0.10
I 0.689 0.418 0.836  -0.15
I 0.311 0.582 0.164  -0.15
Fe 0.000 0.000 0.000  3.54
Cd 0.529 0.208 0.417  0.00
Cd 0.471 0.792 0.583  0.00


The evaluated size of the total moment for the records listed, in turn: 3.05; 26.00; 8.00; 3.97 μB/cell.